A plane-wave DFT calculation with PBE-GGA was carried out for an optimized crystal structure of Na6LiHg3.

The calculation puts the magnetic moment at 0.000 μB per cell. The formation energy is -0.166 eV per atom. Its space group is R-3 (148).

Lattice parameters (Å, degrees): 8.9045 8.9045 8.9045 108.83 108.83 108.83
Element x y z (fractional)
Na 0.0405 0.1578 0.7017
Na 0.1578 0.7017 0.0405
Na 0.1624 0.6167 0.4416
Na 0.2983 0.9595 0.8422
Na 0.3833 0.5584 0.8376
Na 0.4416 0.1624 0.6167
Na 0.5584 0.8376 0.3833
Na 0.6167 0.4416 0.1624
Na 0.7017 0.0405 0.1578
Na 0.8376 0.3833 0.5584
Na 0.8422 0.2983 0.9595
Na 0.9595 0.8422 0.2983
Li 0.0000 0.0000 0.0000
Li 0.5000 0.5000 0.5000
Hg 0.1302 0.2475 0.3999
Hg 0.2475 0.3999 0.1302
Hg 0.3999 0.1302 0.2475
Hg 0.6001 0.8698 0.7525
Hg 0.7525 0.6001 0.8698
Hg 0.8698 0.7525 0.6001


A plane-wave DFT calculation with PBE-GGA was carried out for an optimized crystal structure of MgZr2Re4.

The calculation puts the magnetic moment at 0.000 μB per cell. The formation energy is 1.567 eV per atom. Its space group is I4/mmm (139).

Lattice parameters (Å, degrees): 7.4529 7.4529 7.4529 144.65 144.65 50.86
Element x y z (fractional)
Mg 0.0000 0.0000 0.0000
Zr 0.3732 0.3732 0.0000
Zr 0.6268 0.6268 0.0000
Re 0.0000 0.5000 0.5000
Re 0.1765 0.1765 0.0000
Re 0.5000 0.0000 0.5000
Re 0.8235 0.8235 0.0000